Here is LaHo7In4 after structural relaxation from Alexandria via LeMat-Bulk. Energies are from PBE-GGA.

```
LaHo7In4
1.0
-5.309 1.870 0.551
-3.975 -4.776 6.927
-0.597 5.162 5.745
La Ho In
1 7 4
Direct
0.000 0.000 0.000
0.788 0.876 0.548
0.212 0.124 0.452
0.064 0.604 0.269
0.936 0.396 0.731
0.286 0.652 0.776
0.500 0.000 0.000
0.714 0.348 0.224
0.563 0.236 0.638
0.437 0.764 0.362
0.682 0.668 0.969
0.318 0.332 0.031
```

Output
Formation energy in eV/atom: -0.099
Crystal system: monoclinic
Volume in Å³ per atom: 29.8